{"formula": "Pm2ThPb", "functional": "PBE", "state": "optimized geometry", "cell": [[1.7347, 1.0015, 12.3881], [-1.7347, 1.0015, 12.3881], [0.0000, -2.0031, 12.3881]], "species": ["Pm", "Pm", "Th", "Pb"], "frac_coords": [[0.0921, 0.0921, 0.0921], [0.9079, 0.9079, 0.9079], [0.0000, 0.0000, 0.0000], [0.5000, 0.5000, 0.5000]], "sg": "R-3m (166)", "formation_energy_ev_per_fu": 0.2, "dft_energy_ev_per_atom": -5.098}

{"formula": "CaZrCl2", "functional": "PBE", "state": "optimized geometry", "cell": [[4.8432, 0.0000, 0.0000], [0.0000, 4.8432, 0.0000], [0.0000, 0.0000, 3.3560]], "species": ["Ca", "Zr", "Cl", "Cl"], "frac_coords": [[0.0000, 0.0000, 0.0000], [0.5000, 0.5000, 0.0000], [0.0000, 0.5000, 0.5000], [0.5000, 0.0000, 0.5000]], "sg": "P4/mmm (123)", "dft_energy_ev_per_atom": -4.240, "raw_formation_energy_ev_per_atom": -0.6788}

{"formula": "Ag2Sb3Pd8", "functional": "PBE", "state": "optimized geometry", "cell": [[2.6802, 1.5474, 9.8767], [-2.6802, 1.5474, 9.8767], [0.0000, -3.0948, 9.8767]], "species": ["Ag", "Ag", "Sb", "Sb", "Sb", "Pd", "Pd", "Pd", "Pd", "Pd", "Pd", "Pd", "Pd"], "frac_coords": [[0.1324, 0.1324, 0.1324], [0.8676, 0.8676, 0.8676], [0.3084, 0.3084, 0.3084], [0.5000, 0.5000, 0.5000], [0.6916, 0.6916, 0.6916], [0.2197, 0.2197, 0.7195], [0.2197, 0.7195, 0.2197], [0.2221, 0.2221, 0.2221], [0.2805, 0.7803, 0.7803], [0.7195, 0.2197, 0.2197], [0.7779, 0.7779, 0.7779], [0.7803, 0.2805, 0.7803], [0.7803, 0.7803, 0.2805]], "sg": "R-3m (166)", "dft_energy_ev_per_atom": -4.633, "raw_formation_energy_ev_per_atom": -0.0479}

{"formula": "Pm4PrNd2Er", "functional": "PBE", "state": "optimized geometry", "cell": [[6.9115, -6.7262, 0.0000], [6.9115, 6.7262, 0.0000], [-3.4591, 0.0000, 6.0153]], "species": ["Pm", "Pm", "Pm", "Pm", "Pm", "Pm", "Pm", "Pm", "Pr", "Pr", "Nd", "Nd", "Nd", "Nd", "Er", "Er"], "frac_coords": [[0.2433, 0.7560, 0.9992], [0.2440, 0.7567, 0.5008], [0.2455, 0.2462, 0.4729], [0.2462, 0.2455, 0.9729], [0.7538, 0.7545, 0.0271], [0.7545, 0.7538, 0.5271], [0.7560, 0.2433, 0.4992], [0.7567, 0.2440, 0.0008], [0.0000, 0.5000, 0.0000], [0.5000, 0.0000, 0.5000], [0.0000, 0.5000, 0.5000], [0.5000, 0.0000, 0.0000], [0.5000, 0.5000, 0.0000], [0.5000, 0.5000, 0.5000], [0.0000, 0.0000, 0.0000], [0.0000, 0.0000, 0.5000]], "sg": "C2/c (15)", "formation_energy_ev_per_fu": 3.0, "dft_energy_ev_per_atom": -4.358}

{"formula": "ZnGa2BCl", "functional": "PBE", "state": "optimized geometry", "cell": [[5.1712, 0.0000, 0.0000], [0.0000, 5.1712, 0.0000], [0.0000, 0.0000, 3.8944]], "species": ["Zn", "Ga", "Ga", "B", "Cl"], "frac_coords": [[0.0000, 0.0000, 0.0000], [0.0000, 0.5000, 0.0000], [0.5000, 0.0000, 0.0000], [0.0000, 0.0000, 0.5000], [0.5000, 0.5000, 0.5000]], "sg": "P4/mmm (123)", "dft_energy_ev_per_atom": -2.715, "raw_formation_energy_ev_per_atom": 0.4552}

{"formula": "BeCr2Ir2", "functional": "PBE", "state": "optimized geometry", "cell": [[7.1785, 0.0000, 0.0000], [0.0000, 7.1785, 0.0000], [0.0000, 0.0000, 2.6820]], "species": ["Be", "Be", "Cr", "Cr", "Cr", "Cr", "Ir", "Ir", "Ir", "Ir"], "frac_coords": [[0.0000, 0.0000, 0.0000], [0.5000, 0.5000, 0.0000], [0.1648, 0.3352, 0.5000], [0.3352, 0.8352, 0.5000], [0.6648, 0.1648, 0.5000], [0.8352, 0.6648, 0.5000], [0.1318, 0.6318, 0.0000], [0.3682, 0.1318, 0.0000], [0.6318, 0.8682, 0.0000], [0.8682, 0.3682, 0.0000]], "sg": "P4/mbm (127)", "formation_energy_ev_per_fu": 0.9, "dft_energy_ev_per_atom": -7.965}

{"formula": "AcU2Se6", "functional": "PBE", "state": "optimized geometry", "cell": [[7.2145, -5.7649, 0.0000], [7.2145, 5.7649, 0.0000], [-3.2028, 0.0000, 6.7200]], "species": ["Ac", "Ac", "U", "U", "U", "U", "Se", "Se", "Se", "Se", "Se", "Se", "Se", "Se", "Se", "Se", "Se", "Se"], "frac_coords": [[0.1766, 0.8234, 0.7500], [0.8234, 0.1766, 0.2500], [0.1834, 0.3407, 0.0800], [0.3407, 0.1834, 0.5800], [0.6593, 0.8166, 0.4200], [0.8166, 0.6593, 0.9200], [0.0764, 0.1702, 0.6742], [0.1341, 0.6060, 0.9679], [0.1702, 0.0764, 0.1742], [0.2593, 0.4685, 0.4911], [0.3940, 0.8659, 0.5321], [0.4685, 0.2593, 0.9911], [0.5315, 0.7407, 0.0089], [0.6060, 0.1341, 0.4679], [0.7407, 0.5315, 0.5089], [0.8298, 0.9236, 0.8258], [0.8659, 0.3940, 0.0321], [0.9236, 0.8298, 0.3258]], "sg": "C2/c (15)", "dft_energy_ev_per_atom": -6.604, "raw_formation_energy_ev_per_atom": -1.3157}

{"formula": "CaCoI", "functional": "PBE", "state": "optimized geometry", "cell": [[5.2593, 0.0000, 0.0000], [-2.6296, 4.5546, 0.0000], [0.0000, 0.0000, 9.2190]], "species": ["Ca", "Ca", "Co", "Co", "I", "I"], "frac_coords": [[0.3333, 0.6667, 0.2500], [0.6667, 0.3333, 0.7500], [0.0000, 0.0000, 0.0000], [0.0000, 0.0000, 0.5000], [0.0000, 0.0000, 0.2500], [0.0000, 0.0000, 0.7500]], "sg": "P6_3/mmc (194)", "dft_energy_ev_per_atom": -3.035, "raw_formation_energy_ev_per_atom": 0.5171}